Record 1
Entry from Alexandria via LeMat-Bulk: a PBEsol-optimized structure of YAs2 (SCAN).

Summary:
Formation enthalpy at 0 K, eV per atom: -0.8495

Cell: 3.781 3.781 20.453 Å, 90.00 90.00 90.00°
Space group I4_1/amd (No. 141, origin choice 2)
One atom of each set of equivalent atoms:
1 Y 0.000 0.250 0.375 x4
2 As 0.000 0.250 0.814 x8

Record 2
Entry from Alexandria via LeMat-Bulk: a PBEsol-optimized structure of Y3As2 (SCAN).

Summary:
Formation enthalpy at 0 K, eV per atom: -1.3419

Cell: 4.0020 4.0020 29.0209 Å, 90.00 90.00 120.00°
Space group R-3m (No. 166, hexagonal axes)
One atom of each set of equivalent atoms:
1 Y 0.0000 0.0000 0.0000 x3
2 Y 0.0000 0.0000 0.2212 x6
3 As 0.0000 0.0000 0.3914 x6

Record 3
Entry from Alexandria via LeMat-Bulk: a PBEsol-optimized structure of Y3As2 (SCAN).

Summary:
Formation enthalpy at 0 K, eV per atom: -1.3545

Cell: 4.0234 4.0234 9.4291 Å, 90.00 90.00 120.00°
Space group P-3m1 (No. 164)
One atom of each set of equivalent atoms:
1 Y 0.0000 0.0000 0.0000 x1
2 Y 0.3333 0.6667 0.3408 x2
3 As 0.3333 0.6667 0.8223 x2